Density functional theory data (PBE-GGA) for a relaxed TiAlP2 crystal.

Calculated values
**Energy**: -24.20 eV/f.u.
**Formation enthalpy at 0 K**: -436 meV/atom
**Total magnetization**: 0.87 μB/f.u.

a = 5.6604 Å, b = 5.6604 Å, c = 10.7341 Å
α = 90.00°, β = 90.00°, γ = 90.00°
Last column: nearest neighbours and their distance in Å.
Space group I-42d (No. 122)
Inequivalent atoms, fractional coordinates:
Ti: 0.0000 0.0000 0.0000 x4  4 P 2.43
Al: 0.0000 0.0000 0.5000 x4  4 P 2.38
P: 0.2425 0.2500 0.6250 x8  2 Al 2.38, 2 Ti 2.43

=====

Density functional theory data (PBE-GGA) for a relaxed Ti2Al2P crystal.

Calculated values
**Energy**: -31.32 eV/f.u.
**Formation enthalpy at 0 K**: -527 meV/atom
**Total magnetization**: 0.00 μB/f.u.

a = 6.3242 Å, b = 6.3242 Å, c = 4.1735 Å
α = 90.00°, β = 90.00°, γ = 90.00°
Last column: nearest neighbours and their distance in Å.
Space group P4/mbm (No. 127)
Inequivalent atoms, fractional coordinates:
Ti: 0.1592 0.3408 0.0000 x4  2 P 2.38
Al: 0.1473 0.6473 0.5000 x4  1 Al 2.63, 6 Ti 2.71-2.85
P: 0.0000 0.0000 0.0000 x2  4 Ti 2.38

=====

Density functional theory data (PBE-GGA) for a relaxed Ti2AlP2 crystal.

Calculated values
**Energy**: -34.15 eV/f.u.
**Formation enthalpy at 0 K**: -759 meV/atom
**Total magnetization**: 0.00 μB/f.u.

a = 6.6659 Å, b = 6.6659 Å, c = 3.2608 Å
α = 90.00°, β = 90.00°, γ = 90.00°
Last column: nearest neighbours and their distance in Å.
Space group P4/mbm (No. 127)
Inequivalent atoms, fractional coordinates:
Ti: 0.1515 0.3485 0.0000 x4  6 P 2.53-2.56
Al: 0.0000 0.0000 0.5000 x2  4 P 2.56
P: 0.1440 0.6440 0.5000 x4  6 Ti 2.53-2.56, 2 Al 2.56, 1 P 2.71

=====

Density functional theory data (PBE-GGA) for a relaxed TiAlP2 crystal.

Calculated values
**Energy**: -25.00 eV/f.u.
**Formation enthalpy at 0 K**: -636 meV/atom
**Total magnetization**: 0.00 μB/f.u.

a = 3.4585 Å, b = 3.4585 Å, c = 18.4404 Å
α = 90.00°, β = 90.00°, γ = 120.00°
Last column: nearest neighbours and their distance in Å.
Space group R-3m (No. 166, hexagonal axes)
Inequivalent atoms, fractional coordinates:
Ti: 0.0000 0.0000 0.0000 x3  6 P 2.53
Al: 0.0000 0.0000 0.5000 x3  6 P 2.51
P: 0.0000 0.0000 0.2491 x6  3 Al 2.51, 3 Ti 2.53

=====

Density functional theory data (PBE-GGA) for a relaxed Ti4Al2P crystal.

Calculated values
**Energy**: -45.22 eV/f.u.
**Formation enthalpy at 0 K**: -107 meV/atom
**Total magnetization**: 0.00 μB/f.u.

a = 4.3916 Å, b = 4.3916 Å, c = 13.9846 Å
α = 90.00°, β = 90.00°, γ = 90.00°
Last column: nearest neighbours and their distance in Å.
Space group I4/mmm (No. 139)
Inequivalent atoms, fractional coordinates:
Ti: 0.0000 0.0000 0.1684 x4  1 P 2.35
Ti: 0.0000 0.5000 0.0000 x4  2 P 2.20
Al: 0.0000 0.0000 0.3653 x4  5 Ti 2.75-2.89
P: 0.0000 0.0000 0.0000 x2  6 Ti 2.20-2.35

=====

Density functional theory data (PBE-GGA) for a relaxed Ti4AlP2 crystal.

Calculated values
**Energy**: -50.72 eV/f.u.
**Formation enthalpy at 0 K**: -655 meV/atom
**Total magnetization**: 0.00 μB/f.u.

a = 3.9121 Å, b = 3.9121 Å, c = 26.3384 Å
α = 90.00°, β = 90.00°, γ = 120.00°
Last column: nearest neighbours and their distance in Å.
Space group R-3m (No. 166, hexagonal axes)
Inequivalent atoms, fractional coordinates:
Ti: 0.0000 0.0000 0.1101 x6  3 P 2.53, 3 Al 2.71
Ti: 0.0000 0.0000 0.3000 x6  4 P 2.43-2.64
Al: 0.0000 0.0000 0.5000 x3  2 P 2.63, 6 Ti 2.71
P: 0.0000 0.0000 0.4003 x6  7 Ti 2.43-2.64, 1 Al 2.63

=====

Density functional theory data (PBE-GGA) for a relaxed Ti3AlP crystal.

Calculated values
**Energy above the most stable polymorph in this dataset**: 49 meV/atom
**Energy**: -34.34 eV/f.u.
**Formation enthalpy at 0 K**: -301 meV/atom
**Total magnetization**: 0.00 μB/f.u.

a = 4.5196 Å, b = 4.5196 Å, c = 4.5196 Å
α = 90.00°, β = 90.00°, γ = 90.00°
Last column: nearest neighbours and their distance in Å.
Space group Pm-3m (No. 221)
Inequivalent atoms, fractional coordinates:
Ti: 0.0000 0.0000 0.5000 x3  2 P 2.26
Al: 0.5000 0.5000 0.5000 x1  12 Ti 3.20
P: 0.0000 0.0000 0.0000 x1  6 Ti 2.26

=====

Density functional theory data (PBE-GGA) for a relaxed AlTlP2 crystal.

Calculated values
**Energy above the most stable polymorph in this dataset**: 710 meV/atom
**Energy**: -14.84 eV/f.u.
**Formation enthalpy at 0 K**: 522 meV/atom
**Total magnetization**: 0.00 μB/f.u.

a = 6.0512 Å, b = 7.0763 Å, c = 3.6014 Å
α = 90.00°, β = 90.00°, γ = 90.00°
Last column: nearest neighbours and their distance in Å.
Space group Cmmm (No. 65)
Inequivalent atoms, fractional coordinates:
Al: 0.0000 0.0000 0.0000 x2  8 P 2.94, 2 Tl 3.03
Tl: 0.0000 0.5000 0.0000 x2  8 P 2.94, 2 Al 3.03
P: 0.2500 0.2500 0.5000 x4  4 Tl 2.94, 4 Al 2.94, 2 P 3.03

=====

Density functional theory data (PBE-GGA) for a relaxed AlTl2P crystal.

Calculated values
**Energy above the most stable polymorph in this dataset**: 482 meV/atom
**Energy**: -12.28 eV/f.u.
**Formation enthalpy at 0 K**: 401 meV/atom
**Total magnetization**: 0.00 μB/f.u.

a = 4.6646 Å, b = 4.6646 Å, c = 8.8595 Å
α = 90.00°, β = 90.00°, γ = 90.00°
Last column: nearest neighbours and their distance in Å.
Space group I-4m2 (No. 119)
Inequivalent atoms, fractional coordinates:
Al: 0.0000 0.0000 0.0000 x2  8 Tl 3.22-3.30, 4 P 3.22
Tl: 0.0000 0.0000 0.5000 x2  4 Tl 3.22, 4 P 3.22, 4 Al 3.30
Tl: 0.0000 0.5000 0.2500 x2  4 Tl 3.22, 4 Al 3.22, 4 P 3.30
P: 0.0000 0.5000 0.7500 x2  8 Tl 3.22-3.30, 4 Al 3.22

=====

Density functional theory data (PBE-GGA) for a relaxed AlTlP2 crystal.

Calculated values
**Energy above the most stable polymorph in this dataset**: 330 meV/atom
**Energy**: -16.36 eV/f.u.
**Formation enthalpy at 0 K**: 143 meV/atom
**Total magnetization**: 0.00 μB/f.u.

a = 9.3127 Å, b = 3.2311 Å, c = 6.9642 Å
α = 90.00°, β = 122.94°, γ = 90.00°
Last column: nearest neighbours and their distance in Å.
Space group Cm (No. 8)
Inequivalent atoms, fractional coordinates:
Al: 0.0000 0.0000 0.0000 x2  5 P 2.58-2.70
Tl: 0.2280 0.5000 0.4743 x2  3 Al 3.12-3.23, 2 P 3.15-3.31, 2 Tl 3.23
P: 0.1193 0.5000 0.8315 x2  2 P 2.32, 2 Al 2.58
P: 0.3150 0.0000 0.0695 x2  2 P 2.32, 2 Al 2.59

=====

Density functional theory data (PBE-GGA) for a relaxed Al2TlP crystal.

Calculated values
**Energy above the most stable polymorph in this dataset**: 125 meV/atom
**Energy**: -14.98 eV/f.u.
**Formation enthalpy at 0 K**: 70 meV/atom
**Total magnetization**: 0.00 μB/f.u.

a = 3.8233 Å, b = 3.8233 Å, c = 6.4838 Å
α = 90.00°, β = 90.00°, γ = 90.00°
Last column: nearest neighbours and their distance in Å.
Space group P4mm (No. 99)
Inequivalent atoms, fractional coordinates:
Al: 0.0000 0.5000 0.0000 x2  2 P 2.49, 4 Al 2.70
Tl: 0.0000 0.0000 0.5947 x1  4 Al 3.25, 4 P 3.53
P: 0.5000 0.5000 0.2452 x1  4 Al 2.49

=====

Density functional theory data (PBE-GGA) for a relaxed AlTlP2 crystal.

Calculated values
**Energy above the most stable polymorph in this dataset**: 279 meV/atom
**Energy**: -16.56 eV/f.u.
**Formation enthalpy at 0 K**: 91 meV/atom
**Total magnetization**: 0.00 μB/f.u.

a = 3.3894 Å, b = 3.3894 Å, c = 7.1972 Å
α = 90.00°, β = 90.00°, γ = 90.00°
Last column: nearest neighbours and their distance in Å.
Space group P4/mmm (No. 123)
Inequivalent atoms, fractional coordinates:
Al: 0.0000 0.0000 0.0000 x1  8 P 2.65
Tl: 0.0000 0.0000 0.5000 x1  4 Tl 3.39, 8 P 3.45, 2 Al 3.60
P: 0.5000 0.5000 0.1557 x2  1 P 2.24

=====

Density functional theory data (PBE-GGA) for a relaxed AlTlP3 crystal.

Calculated values
**Energy above the most stable polymorph in this dataset**: 0 meV/atom
**Energy**: -19.47 eV/f.u.
**Formation enthalpy at 0 K**: 573 meV/atom
**Total magnetization**: 0.00 μB/f.u.

a = 4.7595 Å, b = 4.7595 Å, c = 4.7595 Å
α = 90.00°, β = 90.00°, γ = 90.00°
Last column: nearest neighbours and their distance in Å.
Space group Pm-3m (No. 221)
Inequivalent atoms, fractional coordinates:
Al: 0.0000 0.0000 0.0000 x1  6 P 2.38
Tl: 0.5000 0.5000 0.5000 x1  12 P 3.37
P: 0.0000 0.0000 0.5000 x3  2 Al 2.38

=====

Density functional theory data (PBE-GGA) for a relaxed AlTlP2 crystal.

Calculated values
**Energy above the most stable polymorph in this dataset**: 785 meV/atom
**Energy**: -14.54 eV/f.u.
**Formation enthalpy at 0 K**: 598 meV/atom
**Total magnetization**: 0.00 μB/f.u.

a = 3.6279 Å, b = 4.6134 Å, c = 4.6516 Å
α = 90.00°, β = 90.00°, γ = 90.00°
Last column: nearest neighbours and their distance in Å.
Space group Pmmm (No. 47)
Inequivalent atoms, fractional coordinates:
Al: 0.0000 0.0000 0.0000 x1  4 Tl 2.93, 8 P 2.95-3.28
Tl: 0.5000 0.5000 0.0000 x1  4 Al 2.93, 8 P 2.95-3.28
P: 0.0000 0.5000 0.5000 x1  4 P 2.93, 4 Tl 2.95, 4 Al 3.28
P: 0.5000 0.0000 0.5000 x1  4 P 2.93, 4 Al 2.95, 4 Tl 3.28